First-principles (GGA-PBE) data for an optimized crystal structure of PuURuPt, as listed in Alexandria.

Unit cell a=6.8683 b=6.8683 c=6.8683 alpha=90.00 beta=90.00 gamma=90.00
With the nearest neighbours (Å) after each atom.
Space group F-43m (No. 216)
One atom of each set of equivalent atoms:
Pu 0.0000 0.0000 0.0000 x4  4 Ru 2.97, 4 Pt 2.97
U 0.0000 0.0000 0.5000 x4  4 Pt 2.97, 4 Ru 2.97
Ru 0.2500 0.2500 0.2500 x4  4 U 2.97, 4 Pu 2.97
Pt 0.2500 0.2500 0.7500 x4  4 U 2.97, 4 Pu 2.97

Values from the calculation:
E above lowest polymorph ... 153 meV per atom
Energy of formation ... -0.35 eV per atom
E ... -10.58 eV per atom
Total moment ... 1.80 μB/atom
Crystal system ... cubic



First-principles (GGA-PBE) data for an optimized crystal structure of PuURuPt, as listed in Alexandria.

Unit cell a=6.5697 b=6.5697 c=6.5697 alpha=90.00 beta=90.00 gamma=90.00
With the nearest neighbours (Å) after each atom.
Space group F-43m (No. 216)
One atom of each set of equivalent atoms:
Pu 0.0000 0.0000 0.0000 x4  4 U 2.84, 4 Pt 2.84
U 0.2500 0.2500 0.2500 x4  4 Ru 2.84, 4 Pu 2.84
Ru 0.0000 0.0000 0.5000 x4  4 U 2.84, 4 Pt 2.84
Pt 0.2500 0.2500 0.7500 x4  4 Ru 2.84, 4 Pu 2.84

Values from the calculation:
E above lowest polymorph ... 0 meV per atom
Energy of formation ... -0.50 eV per atom
E ... -10.73 eV per atom
Total moment ... 1.06 μB/atom
Crystal system ... cubic



First-principles (GGA-PBE) data for an optimized crystal structure of PuZnRuPt, as listed in Alexandria.

Unit cell a=6.5220 b=6.5220 c=6.5220 alpha=90.00 beta=90.00 gamma=90.00
With the nearest neighbours (Å) after each atom.
Space group F-43m (No. 216)
One atom of each set of equivalent atoms:
Pu 0.0000 0.0000 0.0000 x4  4 Pt 2.82, 4 Ru 2.82
Zn 0.0000 0.0000 0.5000 x4  4 Ru 2.82, 4 Pt 2.82
Ru 0.2500 0.2500 0.7500 x4  4 Pu 2.82, 4 Zn 2.82
Pt 0.2500 0.2500 0.2500 x4  4 Pu 2.82, 4 Zn 2.82

Values from the calculation:
Energy of formation ... -0.34 eV per atom
E ... -8.07 eV per atom
Total moment ... 1.05 μB/atom
Crystal system ... cubic



First-principles (GGA-PBE) data for an optimized crystal structure of PuZrRuPt, as listed in Alexandria.

Unit cell a=6.7643 b=6.7643 c=6.7643 alpha=90.00 beta=90.00 gamma=90.00
With the nearest neighbours (Å) after each atom.
Space group F-43m (No. 216)
One atom of each set of equivalent atoms:
Pu 0.0000 0.0000 0.0000 x4  4 Pt 2.93, 4 Ru 2.93
Zr 0.0000 0.0000 0.5000 x4  4 Ru 2.93, 4 Pt 2.93
Ru 0.2500 0.2500 0.2500 x4  4 Zr 2.93, 4 Pu 2.93
Pt 0.2500 0.2500 0.7500 x4  4 Zr 2.93, 4 Pu 2.93

Values from the calculation:
Energy of formation ... -0.50 eV per atom
E ... -10.05 eV per atom
Total moment ... 1.29 μB/atom
Crystal system ... cubic



First-principles (GGA-PBE) data for an optimized crystal structure of Pu2PtS, as listed in Alexandria.

Unit cell a=5.7331 b=5.7330 c=11.5576 alpha=90.00 beta=90.00 gamma=90.00
With the nearest neighbours (Å) after each atom.
Space group Pmna (No. 53)
One atom of each set of equivalent atoms:
Pu 0.0000 0.2493 0.1214 x4  3 S 2.85-2.87, 3 Pt 2.87-2.93
Pu 0.0000 0.2510 0.6286 x4  3 S 2.85-2.87, 3 Pt 2.87-2.93
Pt 0.0000 0.2490 0.3750 x4  6 Pu 2.87-2.93
S 0.0000 0.2508 0.8750 x4  6 Pu 2.85-2.87

Values from the calculation:
E above lowest polymorph ... 94 meV per atom
E ... -10.84 eV per atom
Uncorrected formation energy ... -1133 meV/atom
Total moment ... 2.81 μB/atom
Crystal system ... orthorhombic



First-principles (GGA-PBE) data for an optimized crystal structure of Pu8Pt5S, as listed in Alexandria.

Unit cell a=8.7111 b=8.7111 c=8.6662 alpha=90.00 beta=90.00 gamma=90.00
With the nearest neighbours (Å) after each atom.
Space group I-4 (No. 82)
One atom of each set of equivalent atoms:
Pu 0.0679 0.1798 0.3037 x8  5 Pt 2.89-3.17, 1 S 3.12
Pu 0.0732 0.3161 0.9478 x8  1 S 2.86, 5 Pt 2.88-3.14
Pt 0.0000 0.5000 0.2500 x2  8 Pu 2.89-3.14
Pt 0.1211 0.2544 0.6247 x8  8 Pu 2.88-3.17
S 0.0000 0.0000 0.0000 x2  8 Pu 2.86-3.12

Values from the calculation:
E ... -11.41 eV per atom
Uncorrected formation energy ... -769 meV/atom
Total moment ... 3.23 μB/atom
Crystal system ... tetragonal



Calculated density list, top to bottom, in g/cm³: 15.953 18.229 14.498 13.550 12.505 14.946